--- P ---
Material: AcTm2In
Method: DFT, PBE
State: relaxed

Unit cell a=5.215 b=5.215 c=17.599 alpha=90.00 beta=90.00 gamma=120.00
Fractional positions:
Ac: 0.000 0.000 0.000
Ac: 0.333 0.667 0.667
Ac: 0.667 0.333 0.333
Tm: 0.000 0.000 0.549
Tm: 0.000 0.000 0.787
Tm: 0.333 0.667 0.216
Tm: 0.333 0.667 0.454
Tm: 0.667 0.333 0.121
Tm: 0.667 0.333 0.883
In: 0.000 0.000 0.204
In: 0.333 0.667 0.871
In: 0.667 0.333 0.537

## Properties
As for the space-group type: R3m (160). Its density of states at the Fermi level is 15.7 states/eV per cell.


--- Q ---
Material: AcTm2In
Method: DFT, PBE
State: relaxed

Unit cell a=7.874 b=7.874 c=7.874 alpha=90.00 beta=90.00 gamma=90.00
Fractional positions:
Ac: 0.000 0.000 0.000
Ac: 0.000 0.500 0.500
Ac: 0.500 0.000 0.500
Ac: 0.500 0.500 0.000
Tm: 0.250 0.250 0.250
Tm: 0.250 0.250 0.750
Tm: 0.250 0.750 0.250
Tm: 0.250 0.750 0.750
Tm: 0.750 0.250 0.250
Tm: 0.750 0.250 0.750
Tm: 0.750 0.750 0.250
Tm: 0.750 0.750 0.750
In: 0.000 0.000 0.500
In: 0.000 0.500 0.000
In: 0.500 0.000 0.000
In: 0.500 0.500 0.500

## Properties
As for the space-group type: Fm-3m (225). Its density of states at the Fermi level is 26.3 states/eV per cell.


--- R ---
Material: AcTm2In
Method: DFT, PBE
State: relaxed

Unit cell a=3.679 b=3.679 c=9.279 alpha=90.00 beta=90.00 gamma=90.00
Fractional positions:
Ac: 0.000 0.000 0.000
Tm: 0.500 0.500 0.289
Tm: 0.500 0.500 0.711
In: 0.000 0.000 0.500

## Properties
As for the space-group type: P4/mmm (123). Its density of states at the Fermi level is 3.7 states/eV per cell.


--- S ---
Material: AcTm2In
Method: DFT, PBE
State: relaxed

Unit cell a=5.008 b=5.008 c=4.985 alpha=90.00 beta=90.00 gamma=90.00
Fractional positions:
Ac: 0.000 0.000 0.000
Tm: 0.000 0.500 0.500
Tm: 0.500 0.000 0.500
In: 0.500 0.500 0.000

## Properties
As for the space-group type: P4/mmm (123). Its density of states at the Fermi level is 6.3 states/eV per cell.


Name the least stable of them. Q.


--- P ---
Material: AcY2In
Method: DFT, PBE
State: relaxed

Unit cell a=7.958 b=7.958 c=7.958 alpha=90.00 beta=90.00 gamma=90.00
Fractional positions:
Ac: 0.000 0.000 0.000
Ac: 0.000 0.500 0.500
Ac: 0.500 0.000 0.500
Ac: 0.500 0.500 0.000
Y: 0.250 0.250 0.250
Y: 0.250 0.250 0.750
Y: 0.250 0.750 0.250
Y: 0.250 0.750 0.750
Y: 0.750 0.250 0.250
Y: 0.750 0.250 0.750
Y: 0.750 0.750 0.250
Y: 0.750 0.750 0.750
In: 0.000 0.000 0.500
In: 0.000 0.500 0.000
In: 0.500 0.000 0.000
In: 0.500 0.500 0.500

## Properties
As for the space-group type: Fm-3m (225). Its density of states at the Fermi level is 27.2 states/eV per cell.


--- Q ---
Material: AcY2In
Method: DFT, PBE
State: relaxed

Unit cell a=5.066 b=5.066 c=5.004 alpha=90.00 beta=90.00 gamma=90.00
Fractional positions:
Ac: 0.000 0.000 0.000
Y: 0.000 0.500 0.500
Y: 0.500 0.000 0.500
In: 0.500 0.500 0.000

## Properties
As for the space-group type: P4/mmm (123). Its density of states at the Fermi level is 5.5 states/eV per cell.


--- R ---
Material: AcY2In
Method: DFT, PBE
State: relaxed

Unit cell a=3.727 b=3.727 c=9.280 alpha=90.00 beta=90.00 gamma=90.00
Fractional positions:
Ac: 0.000 0.000 0.000
Y: 0.500 0.500 0.289
Y: 0.500 0.500 0.711
In: 0.000 0.000 0.500

## Properties
As for the space-group type: P4/mmm (123). Its density of states at the Fermi level is 3.9 states/eV per cell.


Name the least stable of them. P.


--- P ---
Material: AcYIn
Method: DFT, PBE
State: relaxed

Unit cell a=3.776 b=3.776 c=14.138 alpha=90.00 beta=90.00 gamma=90.00
Fractional positions:
Ac: 0.000 0.000 0.000
Ac: 0.500 0.500 0.500
Y: 0.000 0.000 0.698
Y: 0.500 0.500 0.198
In: 0.000 0.000 0.330
In: 0.500 0.500 0.830

## Properties
As for the space-group type: I4mm (107). Its density of states at the Fermi level is 3.7 states/eV per cell.


--- Q ---
Material: AcYIn
Method: DFT, PBE
State: relaxed

Unit cell a=4.970 b=4.970 c=8.492 alpha=90.00 beta=90.00 gamma=90.00
Fractional positions:
Ac: 0.250 0.250 0.148
Ac: 0.750 0.750 0.852
Y: 0.250 0.750 0.500
Y: 0.750 0.250 0.500
In: 0.250 0.250 0.743
In: 0.750 0.750 0.257

## Properties
As for the space-group type: P4/nmm (129). Its density of states at the Fermi level is 6.4 states/eV per cell.


--- R ---
Material: AcYIn
Method: DFT, PBE
State: relaxed

Unit cell a=5.462 b=5.462 c=3.990 alpha=90.00 beta=90.00 gamma=120.00
Fractional positions:
Ac: 0.000 0.000 0.000
Y: 0.667 0.333 0.501
In: 0.333 0.667 0.497

## Properties
As for the space-group type: P3m1 (156). Its density of states at the Fermi level is 2.2 states/eV per cell.


--- S ---
Material: AcYIn
Method: DFT, PBE
State: relaxed

Unit cell a=3.544 b=3.544 c=17.963 alpha=90.00 beta=90.00 gamma=90.00
Fractional positions:
Ac: 0.000 0.000 0.000
Ac: 0.500 0.500 0.500
Y: 0.000 0.000 0.203
Y: 0.500 0.500 0.703
In: 0.000 0.000 0.816
In: 0.500 0.500 0.316

## Properties
As for the space-group type: I4mm (107). Its density of states at the Fermi level is 8.3 states/eV per cell.


Name the least stable of them. S.


--- P ---
Material: Ac3ZnIn
Method: DFT, PBE
State: relaxed

Unit cell a=11.071 b=11.071 c=5.730 alpha=90.00 beta=90.00 gamma=149.99
Fractional positions:
Ac: 0.064 0.936 0.750
Ac: 0.248 0.752 0.750
Ac: 0.432 0.568 0.750
Ac: 0.568 0.432 0.250
Ac: 0.752 0.248 0.250
Ac: 0.936 0.064 0.250
Zn: 0.346 0.654 0.250
Zn: 0.654 0.346 0.750
In: 0.157 0.843 0.250
In: 0.843 0.157 0.750

## Properties
As for the space-group type: Cmcm (63). Its density of states at the Fermi level is 12.7 states/eV per cell.


--- Q ---
Material: Ac3ZnIn
Method: DFT, PBE
State: relaxed

Unit cell a=10.627 b=6.463 c=11.965 alpha=90.00 beta=120.85 gamma=90.00
Fractional positions:
Ac: 0.005 0.078 0.159
Ac: 0.005 0.422 0.659
Ac: 0.350 0.676 0.955
Ac: 0.350 0.824 0.455
Ac: 0.379 0.140 0.160
Ac: 0.379 0.360 0.660
Ac: 0.621 0.640 0.340
Ac: 0.621 0.860 0.840
Ac: 0.650 0.176 0.545
Ac: 0.650 0.324 0.045
Ac: 0.995 0.578 0.341
Ac: 0.995 0.922 0.841
Zn: 0.303 0.150 0.861
Zn: 0.303 0.350 0.361
Zn: 0.697 0.650 0.639
Zn: 0.697 0.850 0.139
In: 0.159 0.603 0.127
In: 0.159 0.897 0.627
In: 0.841 0.103 0.373
In: 0.841 0.397 0.873

## Properties
As for the space-group type: P2_1/c (14). Its density of states at the Fermi level is 19.7 states/eV per cell.


Name the least stable of them. Q.